(1)
A relaxed structure of CsAl2TlCl. Source: Alexandria via LeMat-Bulk, functional PBE.

It has space group P4/mmm (No. 123), with a = 5.5992 Å, b = 5.5992 Å, c = 6.0913 Å, α = 90.00°, β = 90.00° and γ = 90.00°. The distinct sites, in fractional coordinates, are Cs at (0.0000, 0.0000, 0.0000), Al at (0.0000, 0.5000, 0.5000), Tl at (0.5000, 0.5000, 0.0000) and Cl at (0.5000, 0.5000, 0.5000).

As for the formation energy from raw total energies: 0.25 eV/atom. Its total energy is -2.264 eV/atom.


(2)
A relaxed structure of CsAl2TlCl8. Source: Alexandria via LeMat-Bulk, functional PBE.

It has space group R-3 (No. 148, hexagonal axes), with a = 6.9004 Å, b = 6.9004 Å, c = 30.0052 Å, α = 90.00°, β = 90.00° and γ = 120.00°. The distinct sites, in fractional coordinates, are Cs at (0.0000, 0.0000, 0.0000), Al at (0.0000, 0.0000, 0.2547), Tl at (0.0000, 0.0000, 0.5000), Cl at (0.0000, 0.0000, 0.3264) and Cl at (0.0157, 0.6174, 0.4358).

As for the formation energy from raw total energies: -1.62 eV/atom. Its total energy is -3.748 eV/atom.


(3)
A relaxed structure of Cs2AlTlCl6. Source: Alexandria via LeMat-Bulk, functional PBE.

It has space group Fm-3m (No. 225), with a = 10.8889 Å, b = 10.8889 Å, c = 10.8889 Å, α = 90.00°, β = 90.00° and γ = 90.00°. The distinct sites, in fractional coordinates, are Cs at (0.2500, 0.2500, 0.2500), Al at (0.0000, 0.0000, 0.0000), Tl at (0.0000, 0.0000, 0.5000) and Cl at (0.0000, 0.0000, 0.2165).

As for the formation energy from raw total energies: -1.65 eV/atom. Its total energy is -3.535 eV/atom.


(4)
A relaxed structure of CsAl2VCl8. Source: Alexandria via LeMat-Bulk, functional PBE.

It has space group R-3 (No. 148, hexagonal axes), with a = 6.4908 Å, b = 6.4908 Å, c = 29.2834 Å, α = 90.00°, β = 90.00° and γ = 120.00°. The distinct sites, in fractional coordinates, are Cs at (0.0000, 0.0000, 0.0000), Al at (0.0000, 0.0000, 0.2426), V at (0.0000, 0.0000, 0.5000), Cl at (0.0000, 0.0000, 0.3167) and Cl at (0.0067, 0.6530, 0.8869).

As for the formation energy from raw total energies: -1.37 eV/atom. Its total energy is -4.052 eV/atom.


(5)
A relaxed structure of CsAlVCl6. Source: Alexandria via LeMat-Bulk, functional PBE.

It has space group P312 (No. 149), with a = 6.3331 Å, b = 6.3331 Å, c = 7.8833 Å, α = 90.00°, β = 90.00° and γ = 120.00°. The distinct sites, in fractional coordinates, are Cs at (0.0000, 0.0000, 0.0000), Al at (0.6667, 0.3333, 0.5000), V at (0.3333, 0.6667, 0.5000) and Cl at (0.3769, 0.0151, 0.6713).

As for the formation energy from raw total energies: -1.52 eV/atom. Its total energy is -4.279 eV/atom.


(6)
A relaxed structure of Cs2AlWCl6. Source: Alexandria via LeMat-Bulk, functional PBE.

It has space group Fm-3m (No. 225), with a = 10.7449 Å, b = 10.7449 Å, c = 10.7449 Å, α = 90.00°, β = 90.00° and γ = 90.00°. The distinct sites, in fractional coordinates, are Cs at (0.2500, 0.2500, 0.2500), Al at (0.0000, 0.0000, 0.0000), W at (0.0000, 0.0000, 0.5000) and Cl at (0.0000, 0.0000, 0.2701).

As for the formation energy from raw total energies: -1.15 eV/atom. Its total energy is -4.096 eV/atom.


(7)
A relaxed structure of Cs2YAlCl6. Source: Alexandria via LeMat-Bulk, functional PBE.

It has space group Fm-3m (No. 225), with a = 11.1877 Å, b = 11.1877 Å, c = 11.1877 Å, α = 90.00°, β = 90.00° and γ = 90.00°. The distinct sites, in fractional coordinates, are Cs at (0.2500, 0.2500, 0.2500), Y at (0.0000, 0.0000, 0.0000), Al at (0.0000, 0.0000, 0.5000) and Cl at (0.0000, 0.0000, 0.2370).

As for the formation energy from raw total energies: -1.82 eV/atom. Its total energy is -4.119 eV/atom.


(8)
A relaxed structure of AlCu2Cl. Source: Alexandria via LeMat-Bulk, functional PBE.

It has space group P2/m (No. 10), with a = 3.0432 Å, b = 2.9386 Å, c = 7.0599 Å, α = 90.00°, β = 90.22° and γ = 90.00°. The distinct sites, in fractional coordinates, are Al at (0.0000, 0.0000, 0.0000), Cu at (0.4955, 0.5000, 0.7806) and Cl at (0.5000, 0.0000, 0.5000).

As for the formation energy from raw total energies: -0.07 eV/atom. The calculation puts the polymorph energy (0 for the lowest one) at 11.4 kJ/mol of atoms. Its total energy is -3.515 eV/atom.


(9)
A relaxed structure of AlCu2Cl. Source: Alexandria via LeMat-Bulk, functional PBE.

It has space group C2/m (No. 12), with a = 8.5829 Å, b = 3.0111 Å, c = 6.4014 Å, α = 90.00°, β = 119.70° and γ = 90.00°. The distinct sites, in fractional coordinates, are Al at (0.0000, 0.0000, 0.0000), Cu at (0.2291, 0.0000, 0.8305) and Cl at (0.0000, 0.5000, 0.5000).

As for the formation energy from raw total energies: 0.00 eV/atom. The calculation puts the polymorph energy (0 for the lowest one) at 17.8 kJ/mol of atoms. Its total energy is -3.448 eV/atom.


(10)
A relaxed structure of AlCu3Cl. Source: Alexandria via LeMat-Bulk, functional PBE.

It has space group Pm-3m (No. 221), with a = 4.6557 Å, b = 4.6557 Å, c = 4.6557 Å, α = 90.00°, β = 90.00° and γ = 90.00°. The distinct sites, in fractional coordinates, are Al at (0.0000, 0.0000, 0.0000), Cu at (0.0000, 0.0000, 0.5000) and Cl at (0.5000, 0.5000, 0.5000).

As for the formation energy from raw total energies: 0.70 eV/atom. The calculation puts the polymorph energy (0 for the lowest one) at 0.0 kJ/mol of atoms. Its total energy is -2.875 eV/atom.


(11)
A relaxed structure of AlCu2Cl. Source: Alexandria via LeMat-Bulk, functional PBE.

It has space group Fm-3m (No. 225), with a = 6.4270 Å, b = 6.4270 Å, c = 6.4270 Å, α = 90.00°, β = 90.00° and γ = 90.00°. The distinct sites, in fractional coordinates, are Al at (0.0000, 0.0000, 0.0000), Cu at (0.2500, 0.2500, 0.2500) and Cl at (0.0000, 0.0000, 0.5000).

As for the formation energy from raw total energies: 0.48 eV/atom. The calculation puts the polymorph energy (0 for the lowest one) at 64.2 kJ/mol of atoms. Its total energy is -2.967 eV/atom.


(12)
A relaxed structure of AlCu2Cl. Source: Alexandria via LeMat-Bulk, functional PBE.

It has space group R-3m (No. 166, hexagonal axes), with a = 3.1462 Å, b = 3.1462 Å, c = 21.8802 Å, α = 90.00°, β = 90.00° and γ = 120.00°. The distinct sites, in fractional coordinates, are Al at (0.0000, 0.0000, 0.0000), Cu at (0.0000, 0.0000, 0.2507) and Cl at (0.0000, 0.0000, 0.5000).

As for the formation energy from raw total energies: -0.07 eV/atom. The calculation puts the polymorph energy (0 for the lowest one) at 11.6 kJ/mol of atoms. Its total energy is -3.513 eV/atom.


Calculated volume across the listed records, respectively: 191, 1237, 1291, 1068, 274, 1241, 1400, 63, 144, 101, 265, 188 Å³ per cell.